[1]
This record from Alexandria via LeMat-Bulk describes a geometry-optimized CoOsO2 structure. The functional is GGA+U.

Geometry as CIF:
```
data_CoOsO2
_chemical_formula_sum 'Co3 Os3 O6'
_space_group_name_H-M_alt 'R -3 m'
_space_group_IT_number 166
_space_group_name_Hall '-R 3 2"'
_cell_length_a 2.7487
_cell_length_b 2.7487
_cell_length_c 18.2365
_cell_angle_alpha 90.00
_cell_angle_beta 90.00
_cell_angle_gamma 120.00
loop_
_atom_site_label
_atom_site_fract_x
_atom_site_fract_y
_atom_site_fract_z
_atom_site_occupancy
Co1 0.0000 0.0000 0.0000 1
Os1 0.0000 0.0000 0.5000 1
O1 0.0000 0.0000 0.3908 1
```

Results
Energy relative to the lowest polymorph listed for this composition = 0 meV/atom

***

[2]
This record from Alexandria via LeMat-Bulk describes a geometry-optimized Co2Os2O structure. The functional is GGA+U.

Geometry as CIF:
```
data_Co2Os2O
_chemical_formula_sum 'Co4 Os4 O2'
_space_group_name_H-M_alt 'P 4/m b m'
_space_group_IT_number 127
_space_group_name_Hall '-P 4 2ab'
_cell_length_a 7.2428
_cell_length_b 7.2428
_cell_length_c 2.6232
_cell_angle_alpha 90.00
_cell_angle_beta 90.00
_cell_angle_gamma 90.00
loop_
_atom_site_label
_atom_site_fract_x
_atom_site_fract_y
_atom_site_fract_z
_atom_site_occupancy
Co1 0.1714 0.3286 0.0000 1
Os1 0.1243 0.6243 0.5000 1
O1 0.0000 0.0000 0.0000 1
```

Results
Energy relative to the lowest polymorph listed for this composition = 98 meV/atom

***

[3]
This record from Alexandria via LeMat-Bulk describes a geometry-optimized CoOs3O structure. The functional is GGA+U.

Geometry as CIF:
```
data_CoOs3O
_chemical_formula_sum 'Co1 Os3 O1'
_space_group_name_H-M_alt 'P m -3 m'
_space_group_IT_number 221
_space_group_name_Hall '-P 4 2 3'
_cell_length_a 4.0420
_cell_length_b 4.0420
_cell_length_c 4.0420
_cell_angle_alpha 90.00
_cell_angle_beta 90.00
_cell_angle_gamma 90.00
loop_
_atom_site_label
_atom_site_fract_x
_atom_site_fract_y
_atom_site_fract_z
_atom_site_occupancy
Co1 0.0000 0.0000 0.0000 1
Os1 0.0000 0.5000 0.5000 1
O1 0.5000 0.5000 0.5000 1
```

Results
Energy relative to the lowest polymorph listed for this composition = 0 meV/atom

***

[4]
This record from Alexandria via LeMat-Bulk describes a geometry-optimized Co2Os2O structure. The functional is GGA+U.

Geometry as CIF:
```
data_Co2Os2O
_chemical_formula_sum 'Co4 Os4 O2'
_space_group_name_H-M_alt 'I 4/m m m'
_space_group_IT_number 139
_space_group_name_Hall '-I 4 2'
_cell_length_a 3.4302
_cell_length_b 3.4302
_cell_length_c 12.8297
_cell_angle_alpha 90.00
_cell_angle_beta 90.00
_cell_angle_gamma 90.00
loop_
_atom_site_label
_atom_site_fract_x
_atom_site_fract_y
_atom_site_fract_z
_atom_site_occupancy
Co1 0.0000 0.0000 0.0897 1
Os1 0.0000 0.5000 0.2500 1
O1 0.0000 0.0000 0.5000 1
```

Results
Energy relative to the lowest polymorph listed for this composition = 0 meV/atom

***

[5]
This record from Alexandria via LeMat-Bulk describes a geometry-optimized CoOs3O structure. The functional is GGA+U.

Geometry as CIF:
```
data_CoOs3O
_chemical_formula_sum 'Co1 Os3 O1'
_space_group_name_H-M_alt 'P m -3 m'
_space_group_IT_number 221
_space_group_name_Hall '-P 4 2 3'
_cell_length_a 4.4221
_cell_length_b 4.4221
_cell_length_c 4.4221
_cell_angle_alpha 90.00
_cell_angle_beta 90.00
_cell_angle_gamma 90.00
loop_
_atom_site_label
_atom_site_fract_x
_atom_site_fract_y
_atom_site_fract_z
_atom_site_occupancy
Co1 0.0000 0.0000 0.0000 1
Os1 0.0000 0.0000 0.5000 1
O1 0.5000 0.5000 0.5000 1
```

Results
Energy relative to the lowest polymorph listed for this composition = 1546 meV/atom

***

[6]
This record from Alexandria via LeMat-Bulk describes a geometry-optimized CoOsO2 structure. The functional is GGA+U.

Geometry as CIF:
```
data_CoOsO2
_chemical_formula_sum 'Co4 Os4 O8'
_space_group_name_H-M_alt 'I -4 2 d'
_space_group_IT_number 122
_space_group_name_Hall 'I -4 2bw'
_cell_length_a 4.7198
_cell_length_b 4.7198
_cell_length_c 8.7904
_cell_angle_alpha 90.00
_cell_angle_beta 90.00
_cell_angle_gamma 90.00
loop_
_atom_site_label
_atom_site_fract_x
_atom_site_fract_y
_atom_site_fract_z
_atom_site_occupancy
Co1 0.0000 0.0000 0.0000 1
Os1 0.0000 0.0000 0.5000 1
O1 0.2360 0.2500 0.1250 1
```

Results
Energy relative to the lowest polymorph listed for this composition = 487 meV/atom

***

[7]
This record from Alexandria via LeMat-Bulk describes a geometry-optimized CoOsO2 structure. The functional is GGA+U.

Geometry as CIF:
```
data_CoOsO2
_chemical_formula_sum 'Co4 Os4 O8'
_space_group_name_H-M_alt 'F m -3 m'
_space_group_IT_number 225
_space_group_name_Hall '-F 4 2 3'
_cell_length_a 5.4598
_cell_length_b 5.4598
_cell_length_c 5.4598
_cell_angle_alpha 90.00
_cell_angle_beta 90.00
_cell_angle_gamma 90.00
loop_
_atom_site_label
_atom_site_fract_x
_atom_site_fract_y
_atom_site_fract_z
_atom_site_occupancy
Co1 0.0000 0.0000 0.0000 1
Os1 0.0000 0.0000 0.5000 1
O1 0.2500 0.2500 0.2500 1
```

Results
Energy relative to the lowest polymorph listed for this composition = 1069 meV/atom

***

[8]
This record from Alexandria via LeMat-Bulk describes a geometry-optimized CoPOsO2 structure. The functional is GGA+U.

Geometry as CIF:
```
data_CoPOsO2
_chemical_formula_sum 'Co1 P1 Os1 O2'
_space_group_name_H-M_alt 'P 4/m m m'
_space_group_IT_number 123
_space_group_name_Hall '-P 4 2'
_cell_length_a 3.7116
_cell_length_b 3.7116
_cell_length_c 5.3163
_cell_angle_alpha 90.00
_cell_angle_beta 90.00
_cell_angle_gamma 90.00
loop_
_atom_site_label
_atom_site_fract_x
_atom_site_fract_y
_atom_site_fract_z
_atom_site_occupancy
Co1 0.0000 0.0000 0.0000 1
P1 0.5000 0.5000 0.0000 1
Os1 0.5000 0.5000 0.5000 1
O1 0.0000 0.5000 0.5000 1
```

Results
Energy relative to the lowest polymorph listed for this composition = 0 meV/atom

***

[9]
This record from Alexandria via LeMat-Bulk describes a geometry-optimized CoPOsO2 structure. The functional is GGA+U.

Geometry as CIF:
```
data_CoPOsO2
_chemical_formula_sum 'Co1 P1 Os1 O2'
_space_group_name_H-M_alt 'P 4/m m m'
_space_group_IT_number 123
_space_group_name_Hall '-P 4 2'
_cell_length_a 3.4428
_cell_length_b 3.4428
_cell_length_c 6.6675
_cell_angle_alpha 90.00
_cell_angle_beta 90.00
_cell_angle_gamma 90.00
loop_
_atom_site_label
_atom_site_fract_x
_atom_site_fract_y
_atom_site_fract_z
_atom_site_occupancy
Co1 0.0000 0.0000 0.0000 1
P1 0.0000 0.0000 0.5000 1
Os1 0.5000 0.5000 0.5000 1
O1 0.0000 0.5000 0.0000 1
```

Results
Energy relative to the lowest polymorph listed for this composition = 633 meV/atom

***

[10]
This record from Alexandria via LeMat-Bulk describes a geometry-optimized Co2OsPdO structure. The functional is GGA+U.

Geometry as CIF:
```
data_Co2OsPdO
_chemical_formula_sum 'Co2 Os1 Pd1 O1'
_space_group_name_H-M_alt 'P 4/m m m'
_space_group_IT_number 123
_space_group_name_Hall '-P 4 2'
_cell_length_a 4.8323
_cell_length_b 4.8323
_cell_length_c 3.6398
_cell_angle_alpha 90.00
_cell_angle_beta 90.00
_cell_angle_gamma 90.00
loop_
_atom_site_label
_atom_site_fract_x
_atom_site_fract_y
_atom_site_fract_z
_atom_site_occupancy
Co1 0.0000 0.5000 0.0000 1
Os1 0.0000 0.0000 0.0000 1
Pd1 0.5000 0.5000 0.5000 1
O1 0.0000 0.0000 0.5000 1
```

***

[11]
This record from Alexandria via LeMat-Bulk describes a geometry-optimized PmCoOsO6 structure. The functional is GGA+U.

Geometry as CIF:
```
data_PmCoOsO6
_chemical_formula_sum 'Pm1 Co1 Os1 O6'
_space_group_name_H-M_alt 'P 3 1 2'
_space_group_IT_number 149
_cell_length_a 5.0874
_cell_length_b 5.0874
_cell_length_c 5.0478
_cell_angle_alpha 90.00
_cell_angle_beta 90.00
_cell_angle_gamma 120.00
loop_
_space_group_symop_operation_xyz
'x,y,z'
'-y,x-y,z'
'-x+y,-x,z'
'-y,-x,-z'
'-x+y,y,-z'
'x,x-y,-z'
loop_
_atom_site_label
_atom_site_fract_x
_atom_site_fract_y
_atom_site_fract_z
_atom_site_occupancy
Pm1 0.0000 0.0000 0.0000 1
Co1 0.3333 0.6667 0.5000 1
Os1 0.6667 0.3333 0.5000 1
O1 0.0022 0.3702 0.7107 1
```

***

Sequential N(E_F) output: 0.676 1.233 1.435 0.796 0.955 0.485 0.885 0.589 0.708 0.863 0.571 states/eV per atom
Sequential E output: -85.89 -63.25 -38.11 -64.24 -30.38 -106.73 -97.42 -32.67 -29.51 -27.04 -65.57 eV/cell
Sequential theoretical density output: 11.74 12.41 16.23 11.32 12.40 9.54 11.47 7.08 6.56 8.41 7.19 g cm⁻³